First-principles (PBE) data for a geometry-optimized Cd2SnIrRh structure, as listed in Alexandria.

The structure in CIF format:
```
data_Cd2SnIrRh
_chemical_formula_sum 'Cd2 Sn1 Ir1 Rh1'
_symmetry_space_group_name_H-M 'P 1'
_symmetry_Int_Tables_number 1
_symmetry_space_group_name_Hall 'P 1'
_cell_length_a 5.1102
_cell_length_b 5.1102
_cell_length_c 4.9508
_cell_angle_alpha 90.00
_cell_angle_beta 90.00
_cell_angle_gamma 90.00
loop_
_atom_site_label
_atom_site_type_symbol
_atom_site_fract_x
_atom_site_fract_y
_atom_site_fract_z
Cd1 Cd 0.0000 0.5000 0.0000
Cd2 Cd 0.5000 0.0000 0.0000
Sn1 Sn 0.0000 0.0000 0.5000
Ir1 Ir 0.0000 0.0000 0.0000
Rh1 Rh 0.5000 0.5000 0.5000
```

Results
SG: P4/mmm (123)
Total magnetic moment (μB per atom): 0.0000
Formation enthalpy at 0 K (eV per atom): 0.659